Ac2MoRuO8 | PBE with a Hubbard U | relaxed

POSCAR file:
```
Ac2MoRuO8
1.0
5.444 0.000 0.000
1.489 6.041 0.000
2.267 0.954 5.773
Ac Mo Ru O
2 1 1 8
Cartesian
1.261 1.278 0.902
7.939 5.717 4.871
4.600 3.497 2.887
3.855 0.477 2.887
3.966 3.665 4.673
3.710 5.381 2.530
4.871 6.652 4.784
3.028 2.232 2.471
6.172 4.763 3.302
4.330 0.343 0.989
5.490 1.613 3.243
5.234 3.329 1.100
```

Calculated values
- energy (eV/atom) = -7.56
- total moment (μB/atom) = 0.3020
- symmetry = P-1 (2)